This record from Alexandria via LeMat-Bulk describes Na2CdH3 after structural relaxation. The functional is PBE-GGA.

The calculated volume comes out at 84.84 Å³/f.u. For the total magnetic moment, the calculation gives 0.000 μB per formula unit. For the total DFT energy (no corrections), the calculation gives -2.237 eV per atom. The density is 3.159 g/cm³.

The space group is C2/c (No. 15) and the conventional cell measures 9.9357, 5.2251 and 6.9794 Å, with angles of 90.00, 110.51 and 90.00 degrees. The distinct sites, in fractional coordinates, are Na at (0.1626, 0.0043, 0.0809), Cd at (0.0000, 0.4890, 0.7500), H at (0.0000, 0.1363, 0.2500) and H at (0.1462, 0.4969, 0.5724).